Record 1
{
  "formula": "TlPb2",
  "functional": "PBE",
  "state": "optimized geometry",
  "lattice_angstrom": [[-2.693, 1.208, -1.867], [-0.282, -0.321, 3.466], [3.035, 8.340, 1.020]],
  "species": ["Pb", "Tl", "Pb"],
  "frac_coords": [[0.667, 0.333, 0.664], [0.000, 0.000, 0.000], [0.333, 0.667, 0.336]],
  "magmom_total_mub_per_atom": 0.0000,
  "crystal_system": "trigonal",
  "e_above_lowest_polymorph_mev_per_atom": 0
}

***

Record 2
{
  "formula": "Tl3Pb",
  "functional": "PBE",
  "state": "optimized geometry",
  "lattice_angstrom": [[4.684, 0.000, 0.000], [0.000, 5.164, 0.000], [0.000, 0.000, 5.098]],
  "species": ["Tl", "Tl", "Pb", "Tl"],
  "frac_coords": [[0.500, 0.000, 0.417], [0.500, 0.500, 0.917], [0.000, 0.000, 0.917], [0.000, 0.500, 0.417]],
  "magmom_total_mub_per_atom": 0.0000,
  "crystal_system": "orthorhombic",
  "e_above_lowest_polymorph_mev_per_atom": 7
}

***

Number 1: formation enthalpy at 0 K -0.013 eV per atom. Number 2: formation enthalpy at 0 K 0.008 eV per atom.